No. 1
Material: Sm6C3Se2Br
Method: DFT, PBE-GGA
State: optimized geometry

Calculated values
total moment = 0.0 μB per cell
formation energy without anion corrections = -1.027 eV per atom

abc: 3.848 8.194 9.047
angles: 107.90 102.28 90.00
Fractional positions:
1 Sm 0.320 0.943 0.640
2 Sm 0.659 0.606 0.317
3 Sm 0.680 0.057 0.360
4 Sm 0.987 0.286 0.975
5 Sm 0.013 0.714 0.025
6 Sm 0.341 0.394 0.683
7 C 0.500 0.500 0.000
8 C 0.833 0.167 0.666
9 C 0.167 0.833 0.334
10 Se 0.836 0.673 0.673
11 Se 0.164 0.327 0.327
12 Br 0.500 0.000 0.000

***

No. 2
Material: Zr2Re2Ru
Method: DFT, PBE-GGA
State: optimized geometry

Calculated values
total moment = 0.0 μB per cell
ΔE_f = 0.204 eV per atom

abc: 3.478 3.478 8.412
angles: 78.07 78.07 90.00
Fractional positions:
1 Re 0.750 0.250 0.500
2 Re 0.250 0.750 0.500
3 Zr 0.402 0.402 0.196
4 Zr 0.598 0.598 0.804
5 Ru 0.000 0.000 0.000

***

No. 3
Material: SrY2Cr
Method: DFT, PBE-GGA
State: optimized geometry

Calculated values
total moment = 3.3 μB per cell
ΔE_f = 0.361 eV per atom

abc: 6.744 6.744 5.769
angles: 64.69 64.69 32.13
Fractional positions:
1 Cr 0.750 0.750 0.750
2 Sr 0.250 0.250 0.250
3 Y 0.043 0.043 0.957
4 Y 0.457 0.457 0.543

***

No. 4
Material: NdMgZn2Ni
Method: DFT, PBE-GGA
State: optimized geometry

Calculated values
total moment = 0.0 μB per cell
ΔE_f = -0.277 eV per atom

abc: 3.814 4.178 6.695
angles: 108.18 106.55 90.00
Fractional positions:
1 Nd 0.427 0.427 0.855
2 Mg 0.192 0.692 0.383
3 Zn 0.707 0.207 0.414
4 Zn 0.045 0.045 0.090
5 Ni 0.841 0.841 0.682